DFT (PBE) results for crystalline CdCu2Mo at its relaxed geometry.

Values from the calculation:
- ρ: 8.94 Mg/m³
- Calculated formation energy: 0.368 eV per atom
- DOS(E_F): 6.7 states/eV/cell

a = 8.7825 Å, b = 2.6844 Å, c = 5.3186 Å
α = 90.00°, β = 96.54°, γ = 90.00°
Closest atoms and distances in Å follow each position.
Space group C2/m (No. 12)
Symmetry-distinct sites (fractional):
Cd (0.0000, 0.0000, 0.0000)  2 Cd 2.68, 6 Cu 2.79-2.87, 4 Mo 2.98
Cu (0.2476, 0.0000, 0.7150)  3 Mo 2.61-2.70, 4 Cu 2.66-2.68, 3 Cd 2.79-2.87
Mo (0.0000, 0.5000, 0.5000)  6 Cu 2.61-2.70, 2 Mo 2.68

=====

DFT (PBE) results for crystalline LiTa2InPt at its relaxed geometry.

Values from the calculation:
- ρ: 8.83 Mg/m³
- Calculated formation energy: 1.795 eV per atom
- DOS(E_F): 5.7 states/eV/cell

a = 5.0949 Å, b = 5.0949 Å, c = 4.9191 Å
α = 90.00°, β = 90.00°, γ = 90.00°
Closest atoms and distances in Å follow each position.
Space group P4/mmm (No. 123)
Symmetry-distinct sites (fractional):
Li (0.0000, 0.0000, 0.0000)  8 Ta 3.54, 4 Pt 3.60
Ta (0.0000, 0.5000, 0.5000)  2 In 2.55
In (0.5000, 0.5000, 0.5000)  2 Pt 2.46, 4 Ta 2.55
Pt (0.5000, 0.5000, 0.0000)  2 In 2.46

=====

DFT (PBE) results for crystalline SnAuN2F at its relaxed geometry.

Values from the calculation:
- E above lowest polymorph: 0 kJ/mol of formula units
- E_form (uncorrected): 0.71 eV/atom
- ρ: 8.26 Mg/m³
- DOS(E_F): 1.5 states/eV/cell

a = 4.1971 Å, b = 4.1971 Å, c = 4.1396 Å
α = 90.00°, β = 90.00°, γ = 90.00°
Closest atoms and distances in Å follow each position.
Space group P4/mmm (No. 123)
Symmetry-distinct sites (fractional):
Sn (0.0000, 0.0000, 0.0000)  2 F 2.07, 4 N 2.10
Au (0.5000, 0.5000, 0.5000)  8 N 2.95, 4 F 2.97
N (0.0000, 0.5000, 0.0000)  2 Sn 2.10
F (0.0000, 0.0000, 0.5000)  2 Sn 2.07

=====

DFT (PBE) results for crystalline La8Zn2Ag at its relaxed geometry.

Values from the calculation:
- E above lowest polymorph: 60 kJ/mol of formula units
- ρ: 6.62 Mg/m³
- Calculated formation energy: -0.080 eV per atom
- DOS(E_F): 25.6 states/eV/cell

a = 5.1671 Å, b = 8.9219 Å, c = 14.6863 Å
α = 90.00°, β = 90.00°, γ = 90.00°
Closest atoms and distances in Å follow each position.
Space group Immm (No. 71)
Symmetry-distinct sites (fractional):
La (0.0000, 0.0000, 0.1386)  2 Ag 3.29, 2 Zn 3.48, 8 La 3.58-3.62
La (0.0000, 0.2166, 0.3434)  3 Zn 3.27-3.30, 1 Ag 3.42, 5 La 3.49-3.62
La (0.0000, 0.3359, 0.0000)  1 La 2.93
Zn (0.0000, 0.5000, 0.2023)  10 La 3.27-3.48
Ag (0.0000, 0.5000, 0.5000)  8 La 3.29-3.42

=====

DFT (PBE) results for crystalline Mg2ZrS4 at its relaxed geometry.

Values from the calculation:
- E above lowest polymorph: 26 kJ/mol of formula units
- E_form (uncorrected): -1.40 eV/atom
- ρ: 3.33 Mg/m³
- DOS(E_F): 0.2 states/eV/cell

a = 3.5704 Å, b = 12.2277 Å, c = 12.2328 Å
α = 90.00°, β = 90.00°, γ = 90.00°
Closest atoms and distances in Å follow each position.
Space group Cmcm (No. 63)
Symmetry-distinct sites (fractional):
Mg (0.0000, 0.1253, 0.0659)  6 S 2.49-2.69
Zr (0.0000, 0.3782, 0.2500)  6 S 2.59-2.66
S (0.0000, 0.0311, 0.2500)  2 Mg 2.53, 2 Zr 2.59
S (0.0000, 0.2197, 0.6213)  3 Mg 2.56-2.69, 2 Zr 2.66
S (0.0000, 0.5000, 0.0000)  4 Mg 2.49

=====

DFT (PBE) results for crystalline FeMoRh2 at its relaxed geometry.

Values from the calculation:
- E above lowest polymorph: 43 kJ/mol of formula units
- ρ: 10.50 Mg/m³
- Calculated formation energy: -0.033 eV per atom
- DOS(E_F): 9.1 states/eV/cell

a = 8.9718 Å, b = 2.7416 Å, c = 4.6777 Å
α = 90.00°, β = 100.58°, γ = 90.00°
Closest atoms and distances in Å follow each position.
Space group Cm (No. 8)
Symmetry-distinct sites (fractional):
Fe (0.0000, 0.0000, 0.0000)  7 Rh 2.64-2.71, 2 Fe 2.74, 3 Mo 2.76-2.78
Mo (0.2521, 0.5000, 0.2792)  7 Rh 2.63-2.74, 2 Mo 2.74, 3 Fe 2.76-2.78
Rh (0.0037, 0.5000, 0.5011)  3 Mo 2.63-2.68, 4 Fe 2.71, 5 Rh 2.74-2.82
Rh (0.2533, 0.0000, 0.7871)  3 Fe 2.64, 4 Mo 2.68-2.74, 5 Rh 2.74-2.82

=====

DFT (PBE) results for crystalline CdAu2Cl at its relaxed geometry.

Values from the calculation:
- E above lowest polymorph: 50 kJ/mol of formula units
- E_form (uncorrected): -0.13 eV/atom
- ρ: 10.15 Mg/m³
- DOS(E_F): 2.7 states/eV/cell

a = 3.3873 Å, b = 3.3873 Å, c = 26.7525 Å
α = 90.00°, β = 90.00°, γ = 120.00°
Closest atoms and distances in Å follow each position.
Space group R3m (No. 160, hexagonal axes)
Symmetry-distinct sites (fractional):
Cd (0.0000, 0.0000, 0.0000)  3 Cl 2.66, 3 Au 2.85
Au (0.0000, 0.0000, 0.4864)  3 Au 2.82
Au (0.0000, 0.0000, 0.7440)  3 Au 2.82, 3 Cd 2.85
Cl (0.0000, 0.0000, 0.2659)  3 Cd 2.66

=====

DFT (PBE) results for crystalline NaTi4MnS8 at its relaxed geometry.

Values from the calculation:
- E_form (uncorrected): -1.11 eV/atom
- ρ: 3.09 Mg/m³
- DOS(E_F): 23.9 states/eV/cell

a = 7.2397 Å, b = 7.2397 Å, c = 18.6941 Å
α = 90.00°, β = 90.00°, γ = 120.00°
Closest atoms and distances in Å follow each position.
Space group R3m (No. 160, hexagonal axes)
Symmetry-distinct sites (fractional):
Na (0.0000, 0.0000, 0.0000)  4 S 2.49-2.54
Ti (0.0000, 0.0000, 0.2584)  4 S 2.35-2.42
Ti (0.1691, 0.3383, 0.4646)  6 S 2.40-2.59
Mn (0.0000, 0.0000, 0.6410)  6 S 2.46-2.61
S (0.0000, 0.0000, 0.3881)  4 Ti 2.42-2.56
S (0.0000, 0.0000, 0.8665)  3 Ti 2.43, 1 Na 2.49
S (0.0315, 0.5158, 0.3920)  2 Ti 2.40, 1 Mn 2.46, 1 Na 2.54
S (0.1763, 0.3526, 0.2158)  3 Ti 2.35-2.59, 1 Mn 2.61

=====

DFT (PBE) results for crystalline Ga2NiRh2 at its relaxed geometry.

Values from the calculation:
- E above lowest polymorph: 0 kJ/mol of formula units
- ρ: 9.38 Mg/m³
- Calculated formation energy: -0.353 eV per atom
- DOS(E_F): 6.5 states/eV/cell

a = 6.9517 Å, b = 6.9517 Å, c = 2.9581 Å
α = 90.00°, β = 90.00°, γ = 90.00°
Closest atoms and distances in Å follow each position.
Space group P4/mbm (No. 127)
Symmetry-distinct sites (fractional):
Ga (0.1469, 0.3531, 0.0000)  6 Rh 2.46-2.56, 2 Ni 2.66
Ni (0.0000, 0.0000, 0.0000)  4 Ga 2.66, 2 Ni 2.96
Rh (0.1531, 0.6531, 0.5000)  6 Ga 2.46-2.56

=====

DFT (PBE) results for crystalline Ta2NbB at its relaxed geometry.

Values from the calculation:
- ρ: 11.52 Mg/m³
- Calculated formation energy: 0.108 eV per atom
- DOS(E_F): 4.9 states/eV/cell

a = 3.1058 Å, b = 3.1058 Å, c = 24.0931 Å
α = 90.00°, β = 90.00°, γ = 120.00°
Closest atoms and distances in Å follow each position.
Space group R-3m (No. 166, hexagonal axes)
Symmetry-distinct sites (fractional):
Ta (0.0000, 0.0000, 0.1120)  3 B 2.22
Nb (0.0000, 0.0000, 0.0000)  2 Ta 2.70
B (0.0000, 0.0000, 0.5000)  6 Ta 2.22

=====

DFT (PBE) results for crystalline RbNaPdPb2 at its relaxed geometry.

Values from the calculation:
- ρ: 6.20 Mg/m³
- Calculated formation energy: -0.098 eV per atom
- DOS(E_F): 3.9 states/eV/cell

a = 5.4227 Å, b = 5.4227 Å, c = 5.7335 Å
α = 90.00°, β = 90.00°, γ = 90.00°
Closest atoms and distances in Å follow each position.
Space group P4/mmm (No. 123)
Symmetry-distinct sites (fractional):
Rb (0.0000, 0.0000, 0.0000)  4 Na 3.83, 8 Pb 3.95
Na (0.5000, 0.5000, 0.0000)  2 Pd 2.87
Pd (0.5000, 0.5000, 0.5000)  4 Pb 2.71, 2 Na 2.87
Pb (0.0000, 0.5000, 0.5000)  2 Pd 2.71

=====

DFT (PBE) results for crystalline CaAcPmY at its relaxed geometry.

Values from the calculation:
- E above lowest polymorph: 19 kJ/mol of formula units
- ρ: 5.49 Mg/m³
- Calculated formation energy: 0.107 eV per atom
- DOS(E_F): 26.0 states/eV/cell

a = 8.4623 Å, b = 8.4623 Å, c = 8.4623 Å
α = 90.00°, β = 90.00°, γ = 90.00°
Closest atoms and distances in Å follow each position.
Space group F-43m (No. 216)
Symmetry-distinct sites (fractional):
Ca (0.0000, 0.0000, 0.0000)  4 Ac 3.66, 4 Pm 3.66
Ac (0.2500, 0.2500, 0.2500)  4 Y 3.66, 4 Ca 3.66
Pm (0.2500, 0.2500, 0.7500)  4 Ca 3.66, 4 Y 3.66
Y (0.0000, 0.0000, 0.5000)  4 Pm 3.66, 4 Ac 3.66